1.
Here is an optimized crystal structure of Pm2DyTmTh from Alexandria via LeMat-Bulk. Energies are from PBE.

Cell: 7.985 6.905 6.129 Å, 90.00 90.00 90.00°
Sites, in units of the cell vectors:
Pm: 0.670 0.723 0.750
Pm: 0.670 0.277 0.750
Pm: 0.330 0.723 0.250
Pm: 0.330 0.277 0.250
Dy: 0.000 0.000 0.000
Dy: 0.000 0.000 0.500
Tm: 0.135 0.500 0.750
Tm: 0.865 0.500 0.250
Th: 0.637 0.000 0.250
Th: 0.363 0.000 0.750

Calculated values
SG: Pmma
Size of the total moment in μB per atom: 0.000

2.
Here is an optimized crystal structure of Pm3DyTmTh from Alexandria via LeMat-Bulk. Energies are from PBE.

Cell: 5.088 8.041 10.808 Å, 116.76 90.00 90.00°
Sites, in units of the cell vectors:
Pm: 0.750 0.868 0.046
Pm: 0.250 0.132 0.954
Pm: 0.250 0.629 0.458
Pm: 0.750 0.371 0.542
Pm: 0.750 0.384 0.207
Pm: 0.250 0.616 0.793
Dy: 0.250 0.122 0.293
Dy: 0.750 0.878 0.707
Tm: 0.250 0.125 0.627
Tm: 0.750 0.875 0.373
Th: 0.250 0.624 0.123
Th: 0.750 0.376 0.877

Calculated values
SG: P2_1/m
Size of the total moment in μB per atom: 0.000

3.
Here is an optimized crystal structure of PmDy6Y2Th2 from Alexandria via LeMat-Bulk. Energies are from PBE.

Cell: 8.740 8.740 9.641 Å, 100.90 100.90 142.34°
Sites, in units of the cell vectors:
Pm: 0.000 0.000 0.500
Dy: 0.784 0.784 0.784
Dy: 0.151 0.421 0.786
Dy: 0.216 0.216 0.216
Dy: 0.421 0.151 0.786
Dy: 0.849 0.579 0.214
Dy: 0.579 0.849 0.214
Y: 0.328 0.672 0.500
Y: 0.672 0.328 0.500
Th: 0.811 0.189 0.000
Th: 0.189 0.811 0.000

Calculated values
SG: C2/m
Size of the total moment in μB per atom: 0.000

4.
Here is an optimized crystal structure of Pm6Dy3YTh2 from Alexandria via LeMat-Bulk. Energies are from PBE.

Cell: 6.240 6.240 11.982 Å, 95.00 95.00 119.94°
Sites, in units of the cell vectors:
Pm: 0.917 0.580 0.752
Pm: 0.746 0.746 0.249
Pm: 0.083 0.420 0.248
Pm: 0.580 0.917 0.752
Pm: 0.254 0.254 0.751
Pm: 0.420 0.083 0.248
Dy: 0.167 0.833 0.500
Dy: 0.833 0.167 0.500
Dy: 0.500 0.500 0.500
Y: 0.000 0.000 0.000
Th: 0.334 0.666 0.000
Th: 0.666 0.334 0.000

Calculated values
SG: C2/m
Size of the total moment in μB per atom: 0.000

5.
Here is an optimized crystal structure of Pm3Dy2Y6Th from Alexandria via LeMat-Bulk. Energies are from PBE.

Cell: 6.221 6.221 11.855 Å, 95.02 95.02 119.98°
Sites, in units of the cell vectors:
Pm: 0.167 0.833 0.500
Pm: 0.833 0.167 0.500
Pm: 0.500 0.500 0.500
Dy: 0.333 0.667 0.000
Dy: 0.667 0.333 0.000
Y: 0.917 0.587 0.753
Y: 0.753 0.753 0.247
Y: 0.083 0.413 0.247
Y: 0.587 0.917 0.753
Y: 0.247 0.247 0.753
Y: 0.413 0.083 0.247
Th: 0.000 0.000 0.000

Calculated values
SG: C2/m
Size of the total moment in μB per atom: 0.000

6.
Here is an optimized crystal structure of PmDyY5Th2 from Alexandria via LeMat-Bulk. Energies are from PBE.

Cell: 8.899 8.899 9.902 Å, 116.70 116.70 90.00°
Sites, in units of the cell vectors:
Pm: 0.250 0.250 0.500
Pm: 0.750 0.750 0.500
Dy: 0.250 0.750 0.500
Dy: 0.750 0.250 0.500
Y: 0.929 0.429 0.274
Y: 0.654 0.154 0.726
Y: 0.071 0.571 0.726
Y: 0.154 0.071 0.726
Y: 0.571 0.654 0.726
Y: 0.846 0.929 0.274
Y: 0.429 0.346 0.274
Y: 0.346 0.846 0.274
Y: 0.500 0.500 0.000
Y: 0.000 0.000 0.000
Th: 0.118 0.382 0.000
Th: 0.618 0.118 0.000
Th: 0.382 0.882 0.000
Th: 0.882 0.618 0.000

Calculated values
SG: I4/mcm
Size of the total moment in μB per atom: 0.000

7.
Here is an optimized crystal structure of Pm2Dy2Y4Th from Alexandria via LeMat-Bulk. Energies are from PBE.

Cell: 3.617 9.566 9.588 Å, 115.28 90.00 100.90°
Sites, in units of the cell vectors:
Pm: 0.336 0.672 0.999
Pm: 0.664 0.328 0.001
Dy: 0.852 0.705 0.336
Dy: 0.148 0.295 0.664
Y: 0.815 0.630 0.666
Y: 0.185 0.370 0.334
Y: 0.518 0.037 0.330
Y: 0.482 0.963 0.670
Th: 0.000 0.000 0.000

Calculated values
SG: C2/m
Size of the total moment in μB per atom: 0.000

8.
Here is an optimized crystal structure of PmDyYTh2 from Alexandria via LeMat-Bulk. Energies are from PBE.

Cell: 6.684 6.668 8.571 Å, 112.89 90.00 90.00°
Sites, in units of the cell vectors:
Pm: 0.250 0.849 0.699
Pm: 0.750 0.151 0.301
Dy: 0.750 0.727 0.454
Dy: 0.250 0.273 0.546
Y: 0.250 0.653 0.307
Y: 0.750 0.347 0.693
Th: 0.500 0.254 0.000
Th: 0.000 0.746 0.000
Th: 0.500 0.746 0.000
Th: 0.000 0.254 0.000

Calculated values
SG: Cmcm
Size of the total moment in μB per atom: 0.000

9.
Here is an optimized crystal structure of PmDy5YTh2 from Alexandria via LeMat-Bulk. Energies are from PBE.

Cell: 8.851 8.851 9.894 Å, 116.57 116.57 90.00°
Sites, in units of the cell vectors:
Pm: 0.250 0.250 0.500
Pm: 0.750 0.750 0.500
Dy: 0.929 0.429 0.276
Dy: 0.653 0.153 0.724
Dy: 0.071 0.571 0.724
Dy: 0.153 0.071 0.724
Dy: 0.571 0.653 0.724
Dy: 0.847 0.929 0.276
Dy: 0.429 0.347 0.276
Dy: 0.347 0.847 0.276
Dy: 0.500 0.500 0.000
Dy: 0.000 0.000 0.000
Y: 0.250 0.750 0.500
Y: 0.750 0.250 0.500
Th: 0.119 0.381 0.000
Th: 0.619 0.119 0.000
Th: 0.381 0.881 0.000
Th: 0.881 0.619 0.000

Calculated values
SG: I4/mcm
Size of the total moment in μB per atom: 0.000

10.
Here is an optimized crystal structure of PmDyY3Th from Alexandria via LeMat-Bulk. Energies are from PBE.

Cell: 5.085 8.008 10.716 Å, 116.30 90.00 90.00°
Sites, in units of the cell vectors:
Pm: 0.250 0.121 0.292
Pm: 0.750 0.879 0.708
Dy: 0.250 0.128 0.628
Dy: 0.750 0.872 0.372
Y: 0.750 0.868 0.043
Y: 0.250 0.132 0.957
Y: 0.250 0.626 0.456
Y: 0.750 0.374 0.544
Y: 0.750 0.383 0.207
Y: 0.250 0.617 0.793
Th: 0.250 0.622 0.122
Th: 0.750 0.378 0.878

Calculated values
SG: P2_1/m
Size of the total moment in μB per atom: 0.000

11.
Here is an optimized crystal structure of PmDy2YTh from Alexandria via LeMat-Bulk. Energies are from PBE.

Cell: 6.440 6.469 8.900 Å, 111.31 90.00 90.00°
Sites, in units of the cell vectors:
Pm: 0.250 0.657 0.314
Pm: 0.750 0.343 0.686
Dy: 0.500 0.246 0.000
Dy: 0.000 0.754 0.000
Dy: 0.500 0.754 0.000
Dy: 0.000 0.246 0.000
Y: 0.750 0.768 0.536
Y: 0.250 0.232 0.464
Th: 0.250 0.844 0.689
Th: 0.750 0.156 0.311

Calculated values
SG: Cmcm
Size of the total moment in μB per atom: 0.000

12.
Here is an optimized crystal structure of Pm2DyY6Th3 from Alexandria via LeMat-Bulk. Energies are from PBE.

Cell: 6.224 6.224 11.786 Å, 95.07 95.07 120.00°
Sites, in units of the cell vectors:
Pm: 0.333 0.667 0.000
Pm: 0.667 0.333 0.000
Dy: 0.000 0.000 0.000
Y: 0.915 0.582 0.745
Y: 0.752 0.752 0.255
Y: 0.085 0.418 0.255
Y: 0.582 0.915 0.745
Y: 0.248 0.248 0.745
Y: 0.418 0.085 0.255
Th: 0.167 0.833 0.500
Th: 0.833 0.167 0.500
Th: 0.500 0.500 0.500

Calculated values
SG: C2/m
Size of the total moment in μB per atom: 0.000

In order of appearance, ΔH_f (0 K) = 0.307; 0.032; 0.148; 0.037; 0.020; 0.327; 0.001; 0.423; 0.333; 0.028; 0.388; 0.020 eV per atom.